ReSnAsBr2: relaxed, GGA-PBEsol.

ρ	5.881	Mg/m³
E_form (uncorrected)	1.414	eV per atom
energy	-3.87	eV per atom
crystal system	tetragonal

a b c (Å): 5.2964 5.2964 5.4322
angles (deg): 90.00 90.00 90.00
Last column: nearest neighbours and their distance in Å.
Fractional positions:
1 Re 0.5000 0.5000 0.5000  4 As 3.75, 8 Br 3.79
2 As 0.0000 0.0000 0.5000  2 Sn 2.72
3 Sn 0.0000 0.0000 0.0000  4 Br 2.65, 2 As 2.72
4 Br 0.0000 0.5000 0.0000  2 Sn 2.65
5 Br 0.5000 0.0000 0.0000  2 Sn 2.65

Sr2Mg: relaxed, GGA-PBEsol.

ρ	2.690	Mg/m³
energy	-1.73	eV per atom
crystal system	trigonal
DFT formation energy	74	meV per atom

a b c (Å): 3.9262 6.0194 6.0194
angles (deg): 120.00 90.00 90.00
Last column: nearest neighbours and their distance in Å.
Fractional positions:
1 Mg 0.0000 0.0000 0.0000  6 Sr 3.66, 2 Mg 3.93
2 Sr 0.7062 0.3333 0.6667  3 Mg 3.66, 5 Sr 3.83-3.93
3 Sr 0.2938 0.6667 0.3333  3 Mg 3.66, 5 Sr 3.83-3.93

MgIrW2: relaxed, GGA-PBEsol.

ρ	15.402	Mg/m³
energy	-9.72	eV per atom
crystal system	tetragonal
DFT formation energy	68	meV per atom

a b c (Å): 2.7841 2.7841 8.1256
angles (deg): 90.00 90.00 89.95
Last column: nearest neighbours and their distance in Å.
Fractional positions:
1 Ir 0.0000 0.0000 0.5105  4 W 2.64, 4 Mg 2.77, 4 Ir 2.78
2 Mg 0.5000 0.5000 0.2713  4 Ir 2.77, 4 Mg 2.78, 4 W 3.01
3 W 0.0000 0.0000 0.9917  8 W 2.78-2.92, 4 Mg 3.01
4 W 0.5000 0.5000 0.7265  4 Ir 2.64, 8 W 2.78-2.92

CoB2Mo2: relaxed, GGA-PBEsol.

ρ	8.982	Mg/m³
energy	-9.55	eV per atom
crystal system	tetragonal
DFT formation energy	-487	meV per atom

a b c (Å): 3.1877 5.6215 5.6215
angles (deg): 90.00 90.00 90.00
Last column: nearest neighbours and their distance in Å.
Fractional positions:
1 Mo 0.5000 0.1781 0.6781  6 B 2.29-2.32
2 Mo 0.5000 0.6781 0.8219  6 B 2.29-2.32
3 Mo 0.5000 0.8219 0.3219  6 B 2.29-2.32
4 Mo 0.5000 0.3219 0.1781  6 B 2.29-2.32
5 B 0.0000 0.3853 0.8853  1 B 1.82
6 B 0.0000 0.8853 0.6147  1 B 1.82
7 B 0.0000 0.6147 0.1147  1 B 1.82
8 B 0.0000 0.1147 0.3853  1 B 1.82
9 Co 0.0000 0.0000 0.0000  4 B 2.26
10 Co 0.0000 0.5000 0.5000  4 B 2.26